Record 1
DFT (PBE) results for ScRe2Te after structural relaxation.

Cell lengths 2.913, 2.913, 9.427 Å; angles 90.00, 90.00, 114.08 degrees
Sites, in units of the cell vectors:
Re (0.000, 0.000, 0.012)
Re (0.000, 0.000, 0.488)
Sc (0.500, 0.500, 0.250)
Te (0.500, 0.500, 0.750)

Results
* symmetry: No. 65


Record 2
DFT (PBE) results for ScReTe2 after structural relaxation.

Cell lengths 4.854, 4.854, 3.410 Å; angles 90.00, 90.00, 90.00 degrees
Sites, in units of the cell vectors:
Re (0.500, 0.000, 0.500)
Sc (0.000, 0.500, 0.500)
Te (0.000, 0.000, 0.000)
Te (0.500, 0.500, 0.000)

Results
* symmetry: No. 123
* energy above the most stable polymorph in this dataset: 186.1 meV per atom


Record 3
DFT (PBE) results for ScReTe2 after structural relaxation.

Cell lengths 3.311, 3.311, 8.688 Å; angles 90.00, 90.00, 90.00 degrees
Sites, in units of the cell vectors:
Re (0.000, 0.000, 0.504)
Sc (0.500, 0.500, 0.714)
Te (0.000, 0.000, 0.942)
Te (0.500, 0.500, 0.341)

Results
* symmetry: No. 99
* energy above the most stable polymorph in this dataset: 0.6 meV per atom


Record 4
DFT (PBE) results for ScVRe2Te after structural relaxation.

Cell lengths 4.572, 4.945, 4.572 Å; angles 90.00, 90.00, 90.00 degrees
Sites, in units of the cell vectors:
Sc (0.500, 0.500, 0.500)
Re (0.000, 0.000, 0.500)
Re (0.500, 0.000, 0.000)
Te (0.000, 0.500, 0.000)
V (0.000, 0.000, 0.000)

Results
* symmetry: No. 123
* energy above the most stable polymorph in this dataset: 0.0 meV per atom


Record 5
DFT (PBE) results for ScVRe2Te after structural relaxation.

Cell lengths 4.769, 4.440, 4.769 Å; angles 90.00, 90.00, 90.00 degrees
Last column: magnetic moment on the atom in μB.
Sites, in units of the cell vectors:
Sc (0.000, 0.000, 0.000)  0.01
Re (0.000, 0.000, 0.500)  0.38
Re (0.500, 0.000, 0.000)  0.43
Te (0.500, 0.500, 0.500)  -0.02
V (0.000, 0.500, 0.000)  0.03

Results
* symmetry: No. 123
* energy above the most stable polymorph in this dataset: 1001.2 meV per atom


Record 6
DFT (PBE) results for ScReTeW2 after structural relaxation.

Cell lengths 4.804, 5.066, 4.804 Å; angles 90.00, 90.00, 90.00 degrees
Sites, in units of the cell vectors:
Sc (0.000, 0.500, 0.000)
Re (0.000, 0.000, 0.000)
Te (0.500, 0.500, 0.500)
W (0.000, 0.000, 0.500)
W (0.500, 0.000, 0.000)

Results
* symmetry: No. 123


Raw formation energy values (in eV per formula unit) by entry order: 2.80 -0.12 -0.86 5.27 10.27 6.22.